Entry 1:
Computed, not measured: a relaxed structure of Dy3Ho2Th at the GGA-PBE level of DFT.

Unit cell a=6.3910 b=8.0434 c=8.0434 alpha=71.33 beta=90.00 gamma=90.00
With the nearest neighbours (Å) after each atom.
Fractional positions:
Ho 0.0553 0.1321 0.4954  2 Th 3.19-3.25, 3 Dy 3.36-3.43, 1 Ho 3.41
Ho 0.5553 0.5046 0.8679  2 Th 3.19-3.25, 3 Dy 3.36-3.43, 1 Ho 3.41
Ho 0.0553 0.4954 0.1321  2 Th 3.19-3.25, 3 Dy 3.36-3.43, 1 Ho 3.41
Ho 0.5553 0.8679 0.5046  2 Th 3.19-3.25, 3 Dy 3.36-3.43, 1 Ho 3.41
Dy 0.0756 0.7524 0.3885  4 Dy 3.35-3.69, 4 Ho 3.36-3.65, 1 Th 3.72
Dy 0.3387 0.9125 0.9125  3 Th 3.26-3.49, 2 Dy 3.35
Dy 0.8387 0.0875 0.0875  3 Th 3.26-3.49, 2 Dy 3.35
Dy 0.5756 0.2476 0.6115  4 Dy 3.35-3.69, 4 Ho 3.36-3.65, 1 Th 3.72
Dy 0.5756 0.6115 0.2476  4 Dy 3.35-3.69, 4 Ho 3.36-3.65, 1 Th 3.72
Dy 0.0756 0.3885 0.7524  4 Dy 3.35-3.69, 4 Ho 3.36-3.65, 1 Th 3.72
Th 0.8576 0.8299 0.8299  4 Ho 3.19-3.25, 3 Dy 3.26-3.49
Th 0.3576 0.1701 0.1701  4 Ho 3.19-3.25, 3 Dy 3.26-3.49

Excess energy over the best structure of this formula in the dataset: 2.73 kcal/mol of atoms
Energy of formation: 0.25 eV per atom

Entry 2:
Computed, not measured: a relaxed structure of Cs3TlSn2Cl9 at the GGA-PBE level of DFT.

Unit cell a=7.9993 b=7.9993 c=9.7525 alpha=90.00 beta=90.00 gamma=120.00
With the nearest neighbours (Å) after each atom.
Fractional positions:
Cl 0.8213 0.6425 0.6801  1 Sn 2.64
Cl 0.0000 0.5000 0.0000  2 Sn 2.79
Cl 0.5000 0.0000 0.0000  2 Sn 2.79
Cl 0.8213 0.1787 0.6801  1 Sn 2.64
Cl 0.5000 0.5000 0.0000  2 Sn 2.79
Cl 0.3575 0.1787 0.6801  1 Sn 2.64
Cl 0.6425 0.8213 0.3199  1 Sn 2.64
Cl 0.1787 0.8213 0.3199  1 Sn 2.64
Cl 0.1787 0.3575 0.3199  1 Sn 2.64
Sn 0.3333 0.6667 0.1613  6 Cl 2.64-2.79
Sn 0.6667 0.3333 0.8387  6 Cl 2.64-2.79
Cs 0.3333 0.6667 0.6632  12 Cl 3.97-4.01
Cs 0.0000 0.0000 0.0000  12 Cl 3.98-4.00
Cs 0.6667 0.3333 0.3368  12 Cl 3.97-4.01
Tl 0.0000 0.0000 0.5000  6 Cl 3.04

Formation energy without anion corrections: -1.426 eV per atom

Entry 3:
Computed, not measured: a relaxed structure of Tb3Dy7 at the GGA-PBE level of DFT.

Unit cell a=6.3775 b=10.7530 c=10.7530 alpha=120.00 beta=90.00 gamma=90.00
With the nearest neighbours (Å) after each atom.
Fractional positions:
Dy 0.2192 0.4705 0.9411  3 Dy 3.15-3.37, 4 Tb 3.33-3.34
Dy 0.2192 0.4705 0.5295  3 Dy 3.15-3.37, 4 Tb 3.33-3.34
Dy 0.5080 0.3333 0.6667  3 Dy 3.15, 3 Tb 3.26
Dy 0.7192 0.5295 0.4705  3 Dy 3.15-3.37, 4 Tb 3.33-3.34
Dy 0.3824 0.1195 0.2391  4 Tb 3.37-3.69, 2 Dy 3.65
Dy 0.3824 0.1195 0.8805  4 Tb 3.37-3.69, 2 Dy 3.65
Dy 0.0080 0.6667 0.3333  3 Dy 3.15, 3 Tb 3.26
Dy 0.8824 0.2391 0.1195  4 Tb 3.37-3.69, 2 Dy 3.65
Dy 0.7192 0.9411 0.4705  3 Dy 3.15-3.37, 4 Tb 3.33-3.34
Dy 0.3824 0.7609 0.8805  4 Tb 3.37-3.69, 2 Dy 3.65
Dy 0.8824 0.8805 0.7609  4 Tb 3.37-3.69, 2 Dy 3.65
Dy 0.2192 0.0589 0.5295  3 Dy 3.15-3.37, 4 Tb 3.33-3.34
Dy 0.8824 0.8805 0.1195  4 Tb 3.37-3.69, 2 Dy 3.65
Dy 0.7192 0.5295 0.0589  3 Dy 3.15-3.37, 4 Tb 3.33-3.34
Tb 0.3651 0.4160 0.2080  8 Dy 3.26-3.49
Tb 0.8651 0.2080 0.7920  8 Dy 3.26-3.49
Tb 0.8651 0.5840 0.7920  8 Dy 3.26-3.49
Tb 0.3651 0.7920 0.5840  8 Dy 3.26-3.49
Tb 0.8651 0.2080 0.4160  8 Dy 3.26-3.49
Tb 0.3651 0.7920 0.2080  8 Dy 3.26-3.49

Excess energy over the best structure of this formula in the dataset: 4.16 kcal/mol of atoms
Energy of formation: 0.19 eV per atom

Entry 4:
Computed, not measured: a relaxed structure of EuDy2Pu at the GGA-PBE level of DFT.

Unit cell a=3.5732 b=3.5732 c=10.0947 alpha=90.00 beta=90.00 gamma=90.00
With the nearest neighbours (Å) after each atom.
Fractional positions:
Dy 0.0000 0.0000 0.7696  4 Pu 3.43, 4 Dy 3.57, 4 Eu 3.71
Dy 0.0000 0.0000 0.2304  4 Pu 3.43, 4 Dy 3.57, 4 Eu 3.71
Eu 0.5000 0.5000 0.5000  4 Eu 3.57, 8 Dy 3.71
Pu 0.5000 0.5000 0.0000  8 Dy 3.43, 4 Pu 3.57

Excess energy over the best structure of this formula in the dataset: 0.00 kcal/mol of atoms
Energy of formation: 0.12 eV per atom

Entry 5:
Computed, not measured: a relaxed structure of Sc2VOs at the GGA-PBE level of DFT.

Unit cell a=4.6365 b=4.6365 c=4.6365 alpha=60.00 beta=60.00 gamma=60.00
With the nearest neighbours (Å) after each atom.
Fractional positions:
Sc 0.7500 0.7500 0.7500  4 Os 2.84, 4 V 2.84
Sc 0.2500 0.2500 0.2500  4 V 2.84, 4 Os 2.84
V 0.0000 0.0000 0.0000  8 Sc 2.84
Os 0.5000 0.5000 0.5000  8 Sc 2.84

Excess energy over the best structure of this formula in the dataset: 0.00 kcal/mol of atoms
Energy of formation: -0.10 eV per atom

Entry 6:
Computed, not measured: a relaxed structure of BaAcS2 at the GGA-PBE level of DFT.

Unit cell a=4.3217 b=4.3217 c=8.0415 alpha=74.41 beta=74.41 gamma=60.00
With the nearest neighbours (Å) after each atom.
Fractional positions:
S 0.0776 0.0776 0.7673  3 Ac 3.03, 3 Ba 3.16
S 0.2576 0.2576 0.2273  3 Ac 3.08, 3 Ba 3.32
Ba 0.4952 0.4952 0.5143  6 S 3.16-3.32
Ac 0.6696 0.6696 0.9911  6 S 3.03-3.08

Excess energy over the best structure of this formula in the dataset: 2.10 kcal/mol of atoms
Formation energy without anion corrections: -1.952 eV per atom

Entry 7:
Computed, not measured: a relaxed structure of Ta2CoPb at the GGA-PBE level of DFT.

Unit cell a=4.6629 b=4.6629 c=4.6629 alpha=60.00 beta=60.00 gamma=60.00
With the nearest neighbours (Å) after each atom.
Fractional positions:
Ta 0.0000 0.0000 0.0000  4 Ta 2.86, 4 Pb 2.86
Ta 0.7500 0.7500 0.7500  4 Co 2.86, 4 Ta 2.86
Pb 0.2500 0.2500 0.2500  4 Ta 2.86, 4 Co 2.86
Co 0.5000 0.5000 0.5000  4 Ta 2.86, 4 Pb 2.86

Energy of formation: 0.61 eV per atom

Entry 8:
Computed, not measured: a relaxed structure of PmHoTmSn at the GGA-PBE level of DFT.

Unit cell a=5.4070 b=5.4070 c=5.4070 alpha=60.00 beta=60.00 gamma=60.00
With the nearest neighbours (Å) after each atom.
Fractional positions:
Sn 0.2500 0.2500 0.2500  4 Ho 3.31, 4 Tm 3.31
Pm 0.7500 0.7500 0.7500  4 Ho 3.31, 4 Tm 3.31
Tm 0.5000 0.5000 0.5000  4 Sn 3.31, 4 Pm 3.31
Ho 0.0000 0.0000 0.0000  4 Sn 3.31, 4 Pm 3.31

Energy of formation: -0.19 eV per atom

Entry 9:
Computed, not measured: a relaxed structure of KSb at the GGA-PBE level of DFT.

Unit cell a=7.0167 b=7.9009 c=3.4787 alpha=77.28 beta=75.65 gamma=49.98
With the nearest neighbours (Å) after each atom.
Fractional positions:
Sb 0.4517 0.9798 0.2842  1 Sb 2.84
Sb 0.4649 0.6036 0.4658  1 Sb 2.84
K 0.9134 0.0709 0.0079  3 K 3.48-3.81, 7 Sb 3.62-3.70
K 0.0033 0.5124 0.7421  3 K 3.48-3.81, 7 Sb 3.62-3.70

Excess energy over the best structure of this formula in the dataset: 2.10 kcal/mol of atoms
Formation energy without anion corrections: -0.349 eV per atom

Entry 10:
Computed, not measured: a relaxed structure of PrBiPdAu at the GGA-PBE level of DFT.

Unit cell a=5.1094 b=5.1094 c=5.1094 alpha=60.00 beta=60.00 gamma=60.00
With the nearest neighbours (Å) after each atom.
Fractional positions:
Au 0.0000 0.0000 0.0000  4 Bi 3.13, 4 Pr 3.13
Bi 0.2500 0.2500 0.2500  4 Pd 3.13, 4 Au 3.13
Pd 0.5000 0.5000 0.5000  4 Pr 3.13, 4 Bi 3.13
Pr 0.7500 0.7500 0.7500  4 Au 3.13, 4 Pd 3.13

Energy of formation: -0.63 eV per atom

Entry 11:
Computed, not measured: a relaxed structure of Th3Ga8Pd3 at the GGA-PBE level of DFT.

Unit cell a=4.5619 b=8.3473 c=8.3827 alpha=65.13 beta=74.21 gamma=74.14
With the nearest neighbours (Å) after each atom.
Fractional positions:
Ga 0.1405 0.1483 0.5707  1 Pd 2.66, 3 Ga 2.67-2.85
Ga 0.1500 0.5644 0.1357  4 Pd 2.61-2.79
Ga 0.5018 0.6708 0.3255  3 Pd 2.55-2.76, 1 Ga 2.67
Ga 0.6520 0.9846 0.7114  1 Pd 2.53, 3 Ga 2.67
Ga 0.3480 0.0154 0.2886  1 Pd 2.53, 3 Ga 2.67
Ga 0.8595 0.8517 0.4293  1 Pd 2.66, 3 Ga 2.67-2.85
Ga 0.8500 0.4356 0.8643  4 Pd 2.61-2.79
Ga 0.4982 0.3292 0.6745  3 Pd 2.55-2.76, 1 Ga 2.67
Pd 0.0000 0.5000 0.5000  8 Ga 2.66-2.79
Pd 0.6470 0.7092 0.9967  5 Ga 2.53-2.78
Pd 0.3530 0.2908 0.0033  5 Ga 2.53-2.78
Th 0.7119 0.2887 0.2876  11 Ga 3.09-3.38, 3 Pd 3.23-3.31
Th 0.0000 0.0000 0.0000  8 Ga 3.21-3.29, 4 Pd 3.27
Th 0.2881 0.7113 0.7124  11 Ga 3.09-3.38, 3 Pd 3.23-3.31

Energy of formation: -0.64 eV per atom

Entry 12:
Computed, not measured: a relaxed structure of ScRu3 at the GGA-PBE level of DFT.

Unit cell a=3.9301 b=3.9301 c=3.9301 alpha=90.00 beta=90.00 gamma=90.00
With the nearest neighbours (Å) after each atom.
Fractional positions:
Ru 0.5000 0.0000 0.5000  8 Ru 2.78, 4 Sc 2.78
Ru 0.0000 0.5000 0.5000  8 Ru 2.78, 4 Sc 2.78
Ru 0.0000 0.0000 0.0000  8 Ru 2.78, 4 Sc 2.78
Sc 0.5000 0.5000 0.0000  12 Ru 2.78

Energy of formation: -0.05 eV per atom

Entry 13:
Computed, not measured: a relaxed structure of Nd2Ag2Hg at the GGA-PBE level of DFT.

Unit cell a=5.8615 b=10.2408 c=14.2236 alpha=20.47 beta=61.62 gamma=58.32
With the nearest neighbours (Å) after each atom.
Fractional positions:
Ag 0.4926 0.9849 0.4125  3 Ag 2.80-3.05, 1 Hg 3.03
Ag 0.0854 0.5937 0.0092  3 Ag 2.80-3.05, 1 Hg 3.02, 1 Nd 3.13
Ag 0.5074 0.0151 0.5875  3 Ag 2.80-3.05, 1 Hg 3.03
Ag 0.9146 0.4063 0.9908  3 Ag 2.80-3.05, 1 Hg 3.02, 1 Nd 3.13
Nd 0.4416 0.8317 0.9429  6 Ag 3.22-3.27, 4 Hg 3.35-3.47
Nd 0.9173 0.3248 0.4195  6 Ag 3.13-3.39, 2 Hg 3.49-3.50
Nd 0.5584 0.1683 0.0571  6 Ag 3.22-3.27, 4 Hg 3.35-3.47
Nd 0.0827 0.6752 0.5805  6 Ag 3.13-3.39, 2 Hg 3.49-3.50
Hg 0.7752 0.2776 0.7225  2 Ag 3.02-3.03, 1 Hg 3.24, 2 Nd 3.35-3.36
Hg 0.2248 0.7224 0.2775  2 Ag 3.02-3.03, 1 Hg 3.24, 2 Nd 3.35-3.36

Energy of formation: -0.32 eV per atom

Entry 14:
Computed, not measured: a relaxed structure of RbNi3Te at the GGA-PBE level of DFT.

Unit cell a=4.7220 b=4.7220 c=4.7220 alpha=90.00 beta=90.00 gamma=90.00
With the nearest neighbours (Å) after each atom.
Fractional positions:
Te 0.5000 0.5000 0.5000  12 Ni 3.34
Rb 0.0000 0.0000 0.0000  6 Ni 2.36
Ni 0.0000 0.0000 0.5000  2 Rb 2.36
Ni 0.5000 0.0000 0.0000  2 Rb 2.36
Ni 0.0000 0.5000 0.0000  2 Rb 2.36

Excess energy over the best structure of this formula in the dataset: 31.36 kcal/mol of atoms
Formation energy without anion corrections: 1.873 eV per atom

Entry 15:
Computed, not measured: a relaxed structure of Tb6Sm3In at the GGA-PBE level of DFT.

Unit cell a=3.5071 b=12.8984 c=14.2856 alpha=100.58 beta=90.00 gamma=90.00
With the nearest neighbours (Å) after each atom.
Fractional positions:
Tb 0.7500 0.3401 0.1170  4 Sm 3.42-3.59, 8 Tb 3.51-3.63
Tb 0.2500 0.5091 0.3089  4 Sm 3.30-3.49, 7 Tb 3.51-3.63
Tb 0.2500 0.1888 0.9199  5 Sm 3.33-3.70, 5 Tb 3.47-3.58, 2 In 3.60
Tb 0.7500 0.4909 0.6911  4 Sm 3.30-3.49, 7 Tb 3.51-3.63
Tb 0.2500 0.2477 0.6923  2 In 3.35, 1 Sm 3.46, 5 Tb 3.47-3.60
Tb 0.7500 0.8112 0.0801  5 Sm 3.33-3.70, 5 Tb 3.47-3.58, 2 In 3.60
Tb 0.2500 0.2240 0.2860  3 Sm 3.23-3.43, 1 In 3.32, 4 Tb 3.51-3.53
Tb 0.7500 0.7760 0.7140  3 Sm 3.23-3.43, 1 In 3.32, 4 Tb 3.51-3.53
Tb 0.2500 0.8891 0.5341  2 In 3.46, 8 Tb 3.51-3.81, 2 Sm 3.72
Tb 0.7500 0.7523 0.3077  2 In 3.35, 1 Sm 3.46, 5 Tb 3.47-3.60
Tb 0.2500 0.6599 0.8830  4 Sm 3.42-3.59, 8 Tb 3.51-3.63
Tb 0.7500 0.1109 0.4659  2 In 3.46, 8 Tb 3.51-3.81, 2 Sm 3.72
Sm 0.7500 0.4216 0.9023  6 Tb 3.30-3.59, 4 Sm 3.51-3.59
Sm 0.7500 0.6306 0.5039  5 Tb 3.23-3.49, 2 Sm 3.51
Sm 0.2500 0.9270 0.8961  6 Tb 3.33-3.70, 4 Sm 3.51-3.66, 2 In 3.53
Sm 0.2500 0.3694 0.4961  5 Tb 3.23-3.49, 2 Sm 3.51
Sm 0.7500 0.0730 0.1039  6 Tb 3.33-3.70, 4 Sm 3.51-3.66, 2 In 3.53
Sm 0.2500 0.5784 0.0977  6 Tb 3.30-3.59, 4 Sm 3.51-3.59
In 0.7500 0.0350 0.7220  7 Tb 3.32-3.60, 2 In 3.51, 2 Sm 3.53
In 0.2500 0.9650 0.2780  7 Tb 3.32-3.60, 2 In 3.51, 2 Sm 3.53

Excess energy over the best structure of this formula in the dataset: 0.55 kcal/mol of atoms
Energy of formation: -0.01 eV per atom

Entry 16:
Computed, not measured: a relaxed structure of GaFe3As at the GGA-PBE level of DFT.

Unit cell a=4.4142 b=4.4142 c=4.4142 alpha=90.00 beta=90.00 gamma=90.00
With the nearest neighbours (Å) after each atom.
Fractional positions:
Ga 0.0000 0.0000 0.0000  6 Fe 2.21
As 0.5000 0.5000 0.5000  12 Fe 3.12
Fe 0.5000 0.0000 0.0000  2 Ga 2.21
Fe 0.0000 0.5000 0.0000  2 Ga 2.21
Fe 0.0000 0.0000 0.5000  2 Ga 2.21

Excess energy over the best structure of this formula in the dataset: 25.22 kcal/mol of atoms
Energy of formation: 0.99 eV per atom

Entry 17:
Computed, not measured: a relaxed structure of AcDy12Tm7 at the GGA-PBE level of DFT.

Unit cell a=9.8203 b=9.8203 c=9.8203 alpha=109.47 beta=109.47 gamma=109.47
With the nearest neighbours (Å) after each atom.
Fractional positions:
Dy 0.9992 0.2671 0.7320  2 Tm 2.85
Dy 0.0008 0.7329 0.2680  2 Tm 2.85
Dy 0.4649 0.7329 0.7320  2 Tm 2.85
Dy 0.7329 0.2680 0.0008  2 Tm 2.85
Dy 0.2680 0.0008 0.7329  2 Tm 2.85
Dy 0.2680 0.5351 0.2671  2 Tm 2.85
Dy 0.2671 0.7320 0.9992  2 Tm 2.85
Dy 0.5351 0.2671 0.2680  2 Tm 2.85
Dy 0.7320 0.4649 0.7329  2 Tm 2.85
Dy 0.2671 0.2680 0.5351  2 Tm 2.85
Dy 0.7329 0.7320 0.4649  2 Tm 2.85
Dy 0.7320 0.9992 0.2671  2 Tm 2.85
Tm 0.5000 0.5000 0.0000  12 Dy 3.73-4.03
Tm 0.0000 0.0000 0.5000  6 Dy 2.85
Tm 0.5000 0.5000 0.5000  6 Dy 2.85
Tm 0.5000 0.0000 0.0000  6 Dy 2.85
Tm 0.0000 0.5000 0.0000  6 Dy 2.85
Tm 0.0000 0.5000 0.5000  12 Dy 3.73-4.03
Tm 0.5000 0.0000 0.5000  12 Dy 3.73-4.03
Ac 0.0000 0.0000 0.0000  12 Dy 4.29

Excess energy over the best structure of this formula in the dataset: 10.25 kcal/mol of atoms
Energy of formation: 0.69 eV per atom

Entry 18:
Computed, not measured: a relaxed structure of CaP2W at the GGA-PBE level of DFT.

Unit cell a=5.4243 b=5.4243 c=5.4243 alpha=146.16 beta=112.04 gamma=78.13
With the nearest neighbours (Å) after each atom.
Fractional positions:
W 0.2500 0.7500 0.5000  4 P 2.39
P 0.4629 0.4629 0.0000  2 W 2.39
P 0.0371 0.0371 0.0000  2 W 2.39
Ca 0.7500 0.2500 0.5000  4 P 2.89, 2 Ca 3.16

Excess energy over the best structure of this formula in the dataset: 9.22 kcal/mol of atoms
Energy of formation: -0.16 eV per atom

Entry 19:
Computed, not measured: a relaxed structure of CoRe2H at the GGA-PBE level of DFT.

Unit cell a=4.0176 b=4.0176 c=4.0176 alpha=60.00 beta=60.00 gamma=60.00
With the nearest neighbours (Å) after each atom.
Fractional positions:
Re 0.2500 0.2500 0.2500  4 Co 2.46, 4 H 2.46
Re 0.7500 0.7500 0.7500  4 Co 2.46, 4 H 2.46
Co 0.5000 0.5000 0.5000  8 Re 2.46
H 0.0000 0.0000 0.0000  8 Re 2.46

Excess energy over the best structure of this formula in the dataset: 7.24 kcal/mol of atoms

Entry 20:
Computed, not measured: a relaxed structure of TlCdInGa at the GGA-PBE level of DFT.

Unit cell a=5.2520 b=5.2520 c=5.2520 alpha=60.00 beta=60.00 gamma=60.00
With the nearest neighbours (Å) after each atom.
Fractional positions:
Cd 0.7500 0.7500 0.7500  4 Tl 3.22, 4 In 3.22
Ga 0.2500 0.2500 0.2500  4 Tl 3.22, 4 In 3.22
Tl 0.0000 0.0000 0.0000  4 Cd 3.22, 4 Ga 3.22
In 0.5000 0.5000 0.5000  4 Cd 3.22, 4 Ga 3.22

Excess energy over the best structure of this formula in the dataset: 1.20 kcal/mol of atoms
Energy of formation: 0.11 eV per atom